Model 1:
DFT (meta-GGA SCAN) results for Sc3Cd at its PBEsol-relaxed geometry.

Geometry as extended XYZ:
```
4
Lattice="4.4403 0.0000 0.0000 0.0000 4.4403 0.0000 0.0000 0.0000 4.4403" Properties=species:S:1:pos:R:3 pbc="T T T"
Sc 0.0000 0.0000 2.2202
Sc 0.0000 2.2202 0.0000
Sc 2.2202 0.0000 0.0000
Cd 2.2202 2.2202 2.2202
```

* DOS at the Fermi energy: 4.73 states/eV/f.u.

Model 2:
DFT (meta-GGA SCAN) results for Sc3Cd at its PBEsol-relaxed geometry.

Geometry as extended XYZ:
```
8
Lattice="6.4185 0.0000 0.0000 0.0000 8.3452 0.0000 0.0000 0.0000 3.3403" Properties=species:S:1:pos:R:3 pbc="T T T"
Sc 0.0000 0.0000 0.0000
Sc 1.6046 2.0863 1.6701
Sc 1.6046 6.2589 1.6701
Sc 3.2093 4.1726 0.0000
Sc 4.8139 2.0863 1.6701
Sc 4.8139 6.2589 1.6701
Cd 0.0000 4.1726 0.0000
Cd 3.2093 0.0000 0.0000
```

* DOS at the Fermi energy: 3.91 states/eV/f.u.

Model 3:
DFT (meta-GGA SCAN) results for Sc3Cd at its PBEsol-relaxed geometry.

Geometry as extended XYZ:
```
8
Lattice="3.5427 0.0000 0.0000 0.0000 4.8536 0.0000 0.0000 0.0000 10.3411" Properties=species:S:1:pos:R:3 pbc="T T T"
Sc 0.0000 0.0000 0.0000
Sc 0.0000 2.4268 2.3757
Sc 0.0000 2.4268 7.9654
Sc 1.7714 0.0000 2.7949
Sc 1.7714 0.0000 7.5462
Sc 1.7714 2.4268 5.1706
Cd 0.0000 0.0000 5.1706
Cd 1.7714 2.4268 0.0000
```

* DOS at the Fermi energy: 3.32 states/eV/f.u.

Most stable to least stable: model 3, model 1, model 2

Model 1:
DFT (meta-GGA SCAN) results for Sc3Cd at its PBEsol-relaxed geometry.

Geometry as extended XYZ:
```
16
Lattice="7.0654 0.0000 0.0000 0.0000 7.0654 0.0000 0.0000 0.0000 7.0654" Properties=species:S:1:pos:R:3 pbc="T T T"
Sc 0.0000 0.0000 0.0000
Sc 0.0000 3.5327 3.5327
Sc 1.7664 1.7664 1.7664
Sc 1.7664 1.7664 5.2991
Sc 1.7664 5.2991 1.7664
Sc 1.7664 5.2991 5.2991
Sc 3.5327 0.0000 3.5327
Sc 3.5327 3.5327 0.0000
Sc 5.2991 1.7664 1.7664
Sc 5.2991 1.7664 5.2991
Sc 5.2991 5.2991 1.7664
Sc 5.2991 5.2991 5.2991
Cd 0.0000 0.0000 3.5327
Cd 0.0000 3.5327 0.0000
Cd 3.5327 0.0000 0.0000
Cd 3.5327 3.5327 3.5327
```

* DOS at the Fermi energy: 6.05 states/eV/f.u.

Model 2:
DFT (meta-GGA SCAN) results for Sc3Cd at its PBEsol-relaxed geometry.

Geometry as extended XYZ:
```
16
Lattice="6.3586 0.0000 0.0000 0.0000 8.7703 0.0000 0.0000 0.0000 6.3215" Properties=species:S:1:pos:R:3 pbc="T T T"
Sc 0.0000 2.1926 0.3073
Sc 0.0000 6.5777 6.0141
Sc 1.5896 0.2169 4.7411
Sc 1.5896 4.1683 4.7411
Sc 1.5896 4.6020 1.5804
Sc 1.5896 8.5534 1.5804
Sc 3.1793 2.1926 2.8534
Sc 3.1793 6.5777 3.4681
Sc 4.7689 0.2169 4.7411
Sc 4.7689 4.1683 4.7411
Sc 4.7689 4.6020 1.5804
Sc 4.7689 8.5534 1.5804
Cd 0.0000 2.1926 3.1610
Cd 0.0000 6.5777 3.1605
Cd 3.1793 2.1926 6.3212
Cd 3.1793 6.5777 0.0003
```

* DOS at the Fermi energy: 4.04 states/eV/f.u.

Most stable to least stable: model 2, model 1